1.
DyZn12, PBEsol geometry, DFT SCAN; ΔH_f (0 K) = -0.23 eV per atom; VASP energy = -16.38 eV per atom; calculated density = 8.18 g cm⁻³
1.0
-4.370 4.370 2.516
4.370 -4.370 2.516
4.370 4.370 -2.516
Dy Zn
1 12
Direct
0.000 0.000 0.000
0.000 0.000 0.500
0.000 0.354 0.354
0.000 0.500 0.000
0.000 0.646 0.646
0.284 0.500 0.784
0.354 0.000 0.354
0.500 0.000 0.000
0.500 0.284 0.784
0.500 0.500 0.500
0.500 0.716 0.216
0.646 0.000 0.646
0.716 0.500 0.216

2.
Na3GaBi, PBEsol geometry, DFT SCAN; ΔH_f (0 K) = 0.24 eV per atom; VASP energy = -21.27 eV per atom; calculated density = 3.68 g cm⁻³; ΔE to the lowest computed polymorph = 0.055 eV/atom
1.0
5.394 0.000 0.000
0.000 5.394 0.000
0.000 0.000 5.394
Na Ga Bi
3 1 1
Direct
0.000 0.000 0.500
0.000 0.500 0.000
0.500 0.000 0.000
0.000 0.000 0.000
0.500 0.500 0.500

3.
Rb2TiMnCl, PBEsol geometry, DFT SCAN; raw formation energy = 0.28 eV/atom; VASP energy = -16.47 eV per atom; calculated density = 2.90 g cm⁻³
1.0
6.428 0.000 0.000
0.000 6.428 0.000
0.000 0.000 4.287
Rb Ti Mn Cl
2 1 1 1
Direct
0.000 0.500 0.000
0.500 0.000 0.000
0.000 0.000 0.500
0.000 0.000 0.000
0.500 0.500 0.500

4.
Ge2BI, PBEsol geometry, DFT SCAN; raw formation energy = 1.51 eV/atom; VASP energy = -19.08 eV per atom; calculated density = 6.11 g cm⁻³
1.0
0.000 3.375 3.375
3.375 0.000 3.375
3.375 3.375 0.000
Ge B I
2 1 1
Direct
0.250 0.250 0.250
0.750 0.750 0.750
0.000 0.000 0.000
0.500 0.500 0.500

5.
HfNbSO2, PBEsol geometry, DFT SCAN; raw formation energy = -1.51 eV/atom; VASP energy = -25.09 eV per atom; calculated density = 6.29 g cm⁻³
1.0
3.808 0.000 0.000
0.000 3.808 0.000
0.000 0.000 6.111
Hf Nb S O
1 1 1 2
Direct
0.000 0.000 0.000
0.000 0.000 0.500
0.500 0.500 0.000
0.000 0.500 0.500
0.500 0.000 0.500

6.
PtRh2Au, PBEsol geometry, DFT SCAN; ΔH_f (0 K) = 0.07 eV per atom; VASP energy = -51.65 eV per atom; calculated density = 16.90 g cm⁻³; ΔE to the lowest computed polymorph = 0.024 eV/atom
1.0
2.761 0.000 0.000
0.000 2.761 0.000
0.000 0.000 7.706
Pt Rh Au
1 2 1
Direct
0.000 0.000 0.000
0.500 0.500 0.238
0.500 0.500 0.762
0.000 0.000 0.500

7.
Mg2Tl, PBEsol geometry, DFT SCAN; ΔH_f (0 K) = -0.16 eV per atom; VASP energy = -27.60 eV per atom; calculated density = 5.45 g cm⁻³
1.0
0.000 3.377 3.377
3.377 0.000 3.377
3.377 3.377 0.000
Mg Tl
2 1
Direct
0.250 0.250 0.250
0.750 0.750 0.750
0.000 0.000 0.000

8.
CaBrO2, PBEsol geometry, DFT SCAN; raw formation energy = -1.56 eV/atom; VASP energy = -11.95 eV per atom; calculated density = 3.79 g cm⁻³; ΔE to the lowest computed polymorph = 0.000 eV/atom
1.0
1.764 1.018 6.183
-1.764 1.018 6.183
0.000 -2.037 6.183
Ca Br O
1 1 2
Direct
0.000 0.000 0.000
0.500 0.500 0.500
0.395 0.395 0.395
0.605 0.605 0.605

Among the records above, which one has the highest VASP energy?
CaBrO2

Among the records above, which one has the highest calculated density?
PtRh2Au

Among the records above, which one has the lowest calculated density?
Rb2TiMnCl

Number 2 is which compound?
Na3GaBi